1 | NiBi2Br | PBE | relaxed

Output
* total magnetization: 0.00 μB/cell
* DOS at the Fermi energy: 1.88 states/eV/cell
* space group: R3m

Geometry as POSCAR:
```
NiBi2Br
1.0
-1.1088 -3.5037 1.8550
0.2749 -3.5755 -2.0214
6.6534 -3.2348 2.4350
Bi Ni Br
2 1 1
Direct
0.0565 0.0565 0.8305
0.2779 0.2779 0.1662
0.6667 0.6667 0.9999
0.4988 0.4988 0.5035
```

2 | NiBi2Br | PBE | relaxed

Output
* total magnetization: 0.00 μB/cell
* DOS at the Fermi energy: 6.00 states/eV/cell
* space group: I-42d

Geometry as POSCAR:
```
NiBi2Br
1.0
6.6811 0.0000 0.0000
0.0000 6.6811 0.0000
3.3406 3.3406 5.9489
Bi Br Ni
4 2 2
Direct
0.5374 0.1250 0.2500
0.3750 0.4626 0.7500
0.8750 0.7874 0.7500
0.2126 0.6250 0.2500
0.0000 0.0000 0.0000
0.7500 0.2500 0.5000
0.5000 0.5000 0.0000
0.2500 0.7500 0.5000
```

Looking at the structures above, 1 is most stable, and the difference to the next one is 27.8 kJ/mol of atoms.